1.
Density functional theory data (GGA-PBE) for a relaxed MnVOs2 crystal.

Calculated values
The calculated formation energy comes out at -0.43 eV/f.u. The density is 14.74 g cm⁻³.

Cell lengths 6.029, 6.029, 6.029 Å; angles 90.00, 90.00, 90.00 degrees
Positions (direct):
1 Mn 0.000 0.000 0.000
2 Mn 0.000 0.500 0.500
3 Mn 0.500 0.000 0.500
4 Mn 0.500 0.500 0.000
5 V 0.000 0.000 0.500
6 V 0.000 0.500 0.000
7 V 0.500 0.000 0.000
8 V 0.500 0.500 0.500
9 Os 0.250 0.250 0.250
10 Os 0.250 0.250 0.750
11 Os 0.250 0.750 0.250
12 Os 0.250 0.750 0.750
13 Os 0.750 0.250 0.250
14 Os 0.750 0.250 0.750
15 Os 0.750 0.750 0.250
16 Os 0.750 0.750 0.750



2.
Density functional theory data (GGA-PBE) for a relaxed Mn3V4Os crystal.

Calculated values
The calculated formation energy comes out at -2.22 eV/f.u. The density is 9.34 g cm⁻³.

Cell lengths 2.922, 4.147, 8.199 Å; angles 90.00, 90.00, 90.00 degrees
Positions (direct):
1 Mn 0.000 0.000 0.000
2 Mn 0.000 0.500 0.247
3 Mn 0.000 0.500 0.753
4 V 0.500 0.000 0.238
5 V 0.500 0.000 0.762
6 V 0.500 0.500 0.000
7 V 0.500 0.500 0.500
8 Os 0.000 0.000 0.500



3.
Density functional theory data (GGA-PBE) for a relaxed Mn2V2Os crystal.

Calculated values
As for the energy relative to the lowest polymorph listed for this composition: 0.384 eV/f.u. The calculated formation energy comes out at 0.44 eV/f.u. The density is 10.48 g cm⁻³.

Cell lengths 6.667, 6.667, 2.865 Å; angles 90.00, 90.00, 90.00 degrees
Positions (direct):
1 Mn 0.111 0.389 0.000
2 Mn 0.389 0.889 0.000
3 Mn 0.611 0.111 0.000
4 Mn 0.889 0.611 0.000
5 V 0.198 0.698 0.500
6 V 0.302 0.198 0.500
7 V 0.698 0.802 0.500
8 V 0.802 0.302 0.500
9 Os 0.000 0.000 0.000
10 Os 0.500 0.500 0.000



4.
Density functional theory data (GGA-PBE) for a relaxed MnVOs3 crystal.

Calculated values
As for the energy relative to the lowest polymorph listed for this composition: 0.000 eV/f.u. The calculated formation energy comes out at 7.83 eV/f.u. The density is 13.23 g cm⁻³.

Cell lengths 4.395, 4.395, 4.395 Å; angles 90.00, 90.00, 90.00 degrees
Positions (direct):
1 Mn 0.000 0.000 0.000
2 V 0.500 0.500 0.500
3 Os 0.000 0.000 0.500
4 Os 0.000 0.500 0.000
5 Os 0.500 0.000 0.000



5.
Density functional theory data (GGA-PBE) for a relaxed MnV2Os2 crystal.

Calculated values
As for the energy relative to the lowest polymorph listed for this composition: 0.000 eV/f.u. The calculated formation energy comes out at 0.51 eV/f.u. The density is 12.04 g cm⁻³.

Cell lengths 7.164, 7.164, 2.887 Å; angles 90.00, 90.00, 90.00 degrees
Positions (direct):
1 Mn 0.000 0.000 0.000
2 Mn 0.500 0.500 0.000
3 V 0.156 0.344 0.500
4 V 0.344 0.844 0.500
5 V 0.656 0.156 0.500
6 V 0.844 0.656 0.500
7 Os 0.142 0.642 0.000
8 Os 0.358 0.142 0.000
9 Os 0.642 0.858 0.000
10 Os 0.858 0.358 0.000



6.
Density functional theory data (GGA-PBE) for a relaxed MnV5Os6 crystal.

Calculated values
The calculated formation energy comes out at -2.41 eV/f.u. The density is 14.57 g cm⁻³.

Cell lengths 7.398, 7.398, 7.398 Å; angles 146.39, 131.87, 59.98 degrees
Positions (direct):
1 Mn 0.000 0.000 0.000
2 V 0.164 0.664 0.500
3 V 0.335 0.335 0.000
4 V 0.500 0.000 0.500
5 V 0.665 0.665 0.000
6 V 0.836 0.336 0.500
7 Os 0.082 0.831 0.251
8 Os 0.252 0.500 0.752
9 Os 0.420 0.169 0.251
10 Os 0.580 0.831 0.749
11 Os 0.748 0.500 0.248
12 Os 0.918 0.169 0.749



7.
Density functional theory data (GGA-PBE) for a relaxed MnVOs2 crystal.

Calculated values
The calculated formation energy comes out at 2.49 eV/f.u. The density is 12.95 g cm⁻³.

Cell lengths 2.716, 4.165, 11.023 Å; angles 90.00, 90.00, 90.00 degrees
Positions (direct):
1 Mn 0.000 0.000 0.000
2 Mn 0.500 0.500 0.500
3 V 0.000 0.000 0.500
4 V 0.500 0.500 0.000
5 Os 0.000 0.000 0.288
6 Os 0.000 0.000 0.712
7 Os 0.500 0.500 0.212
8 Os 0.500 0.500 0.788



8.
Density functional theory data (GGA-PBE) for a relaxed Mn2VOs crystal.

Calculated values
As for the energy relative to the lowest polymorph listed for this composition: 2.462 eV/f.u. The calculated formation energy comes out at 2.27 eV/f.u. The density is 10.25 g cm⁻³.

Cell lengths 3.537, 3.537, 18.181 Å; angles 90.00, 90.00, 90.00 degrees
Positions (direct):
1 Mn 0.249 0.250 0.125
2 Mn 0.250 0.749 0.375
3 Mn 0.250 0.751 0.875
4 Mn 0.251 0.250 0.625
5 Mn 0.749 0.750 0.625
6 Mn 0.750 0.249 0.875
7 Mn 0.750 0.251 0.375
8 Mn 0.751 0.750 0.125
9 V 0.000 0.000 0.500
10 V 0.000 0.500 0.750
11 V 0.500 0.000 0.250
12 V 0.500 0.500 0.000
13 Os 0.000 0.000 0.000
14 Os 0.000 0.500 0.250
15 Os 0.500 0.000 0.750
16 Os 0.500 0.500 0.500



Calculated total moment in order - 3.7 0.0 0.0 2.1 3.7 4.5 2.6 5.1 μB per formula unit